[1]
La3YCu PBE relaxed; calculated total energy = -20.83 eV for the cell shown; magnetization = 0.0 μB/cell; excess energy over the best structure of this formula in the dataset = 719 meV/atom; N(E_F) = 5.96 states/eV per cell; ΔH_f (0 K) = 4.5 eV/f.u.
1.0
-3.501 2.129 -4.159
-3.631 -4.510 0.748
-2.941 3.035 4.028
Y Cu La
1 1 3
Direct
0.000 0.000 0.000
0.500 0.500 0.500
0.000 0.000 0.500
0.000 0.500 0.000
0.500 0.000 0.000

=====

[2]
Ba2LiSb PBE relaxed; calculated total energy = -11.78 eV for the cell shown; magnetization = 0.0 μB/cell; energy relative to the elements, uncorrected = -0.475 eV per atom; N(E_F) = 1.40 states/eV per cell
1.0
5.089 -0.009 0.013
2.558 4.399 0.013
2.498 1.435 9.190
Sb Ba Li
1 2 1
Direct
0.250 0.250 0.250
0.982 0.982 0.052
0.518 0.518 0.448
0.750 0.750 0.750

=====

[3]
Pm2TmSc6 PBE relaxed; calculated total energy = -51.34 eV for the cell shown; magnetization = 0.0 μB/cell; N(E_F) = 16.99 states/eV per cell; ΔH_f (0 K) = 0.6 eV/f.u.
1.0
3.275 -0.260 -0.209
0.814 9.110 1.378
0.814 3.322 8.594
Sc Pm Tm
6 2 1
Direct
0.499 0.669 0.331
0.500 0.000 0.331
0.501 0.000 0.669
0.501 0.669 0.000
0.500 0.331 0.000
0.499 0.331 0.669
0.000 0.667 0.667
0.000 0.333 0.333
0.000 0.000 0.000